No. 1
## CrMoOs2 (PBE-GGA)

Data for crystalline CrMoOs2 at its relaxed geometry.

a = 2.6710 Å, b = 2.6710 Å, c = 8.7101 Å
α = 90.00°, β = 90.00°, γ = 112.59°
Sites, in units of the cell vectors:
Cr1 0.0000 0.0000 0.0000
Mo1 0.5000 0.5000 0.2417
Os1 0.0000 0.0000 0.4991
Os2 0.5000 0.5000 0.7663

Properties
symmetry	Cmm2, No. 35
excess energy over the best structure of this formula in the dataset	312	meV per atom
spin magnetization	0.00	μB/f.u.
formation energy	394	meV per atom

=====

No. 2
## Cr2MoOs (PBE-GGA)

Data for crystalline Cr2MoOs at its relaxed geometry.

a = 3.0137 Å, b = 4.2386 Å, c = 4.3238 Å
α = 90.00°, β = 90.00°, γ = 90.00°
Sites, in units of the cell vectors:
Cr1 0.0000 0.0000 0.0000
Cr2 0.5000 0.0000 0.5000
Mo1 0.0000 0.5000 0.5000
Os1 0.5000 0.5000 0.0000

Properties
symmetry	Pmmm, No. 47
excess energy over the best structure of this formula in the dataset	78	meV per atom
spin magnetization	1.28	μB/f.u.
formation energy	160	meV per atom

=====

No. 3
## Cr2MoOs (PBE-GGA)

Data for crystalline Cr2MoOs at its relaxed geometry.

a = 9.0761 Å, b = 9.0761 Å, c = 9.0761 Å
α = 16.91°, β = 16.91°, γ = 16.91°
Sites, in units of the cell vectors:
Cr1 0.2466 0.2466 0.2466
Cr2 0.7534 0.7534 0.7534
Mo1 0.0000 0.0000 0.0000
Os1 0.5000 0.5000 0.5000

Properties
symmetry	R-3m, No. 166
excess energy over the best structure of this formula in the dataset	235	meV per atom
spin magnetization	0.00	μB/f.u.
formation energy	318	meV per atom

=====

No. 4
## CrMoOs2 (PBE-GGA)

Data for crystalline CrMoOs2 at its relaxed geometry.

a = 4.6899 Å, b = 4.6899 Å, c = 4.6899 Å
α = 131.41°, β = 131.41°, γ = 71.17°
Sites, in units of the cell vectors:
Cr1 0.0000 0.0000 0.0000
Mo1 0.5000 0.5000 0.0000
Os1 0.2500 0.7500 0.5000
Os2 0.7500 0.2500 0.5000

Properties
symmetry	I4/mmm, No. 139
excess energy over the best structure of this formula in the dataset	25	meV per atom
spin magnetization	0.00	μB/f.u.
formation energy	106	meV per atom

=====

No. 5
## Cr2MoOs (PBE-GGA)

Data for crystalline Cr2MoOs at its relaxed geometry.

a = 4.2346 Å, b = 4.2346 Å, c = 4.2346 Å
α = 60.00°, β = 60.00°, γ = 60.00°
Sites, in units of the cell vectors:
Cr1 0.2500 0.2500 0.2500
Cr2 0.7500 0.7500 0.7500
Mo1 0.0000 0.0000 0.0000
Os1 0.5000 0.5000 0.5000

Properties
symmetry	Fm-3m, No. 225
excess energy over the best structure of this formula in the dataset	20	meV per atom
spin magnetization	0.00	μB/f.u.
formation energy	103	meV per atom

=====

No. 6
## CrMoOs2 (PBE-GGA)

Data for crystalline CrMoOs2 at its relaxed geometry.

a = 3.8494 Å, b = 3.8494 Å, c = 3.8285 Å
α = 90.00°, β = 90.00°, γ = 90.00°
Sites, in units of the cell vectors:
Cr1 0.0000 0.0000 0.0000
Mo1 0.5000 0.5000 0.0000
Os1 0.0000 0.5000 0.5000
Os2 0.5000 0.0000 0.5000

Properties
symmetry	P4/mmm, No. 123
excess energy over the best structure of this formula in the dataset	16	meV per atom
spin magnetization	0.00	μB/f.u.
formation energy	97	meV per atom

=====

No. 7
## Cr2MoOs (PBE-GGA)

Data for crystalline Cr2MoOs at its relaxed geometry.

a = 2.7224 Å, b = 3.7379 Å, c = 5.3672 Å
α = 90.00°, β = 90.00°, γ = 90.00°
Sites, in units of the cell vectors:
Cr1 0.0000 0.0000 0.0000
Cr2 0.5000 0.5000 0.2366
Mo1 0.0000 0.0000 0.4899
Os1 0.5000 0.5000 0.7674

Properties
symmetry	Pmm2, No. 25
excess energy over the best structure of this formula in the dataset	159	meV per atom
spin magnetization	0.00	μB/f.u.
formation energy	241	meV per atom

=====

No. 8
## Cr2MoOs (PBE-GGA)

Data for crystalline Cr2MoOs at its relaxed geometry.

a = 4.9375 Å, b = 4.9375 Å, c = 4.9375 Å
α = 144.43°, β = 128.14°, γ = 64.47°
Sites, in units of the cell vectors:
Cr1 0.2413 0.2413 0.0000
Cr2 0.7587 0.7587 0.0000
Mo1 0.0000 0.5000 0.5000
Os1 0.5000 0.0000 0.5000

Properties
symmetry	Immm, No. 71
excess energy over the best structure of this formula in the dataset	74	meV per atom
spin magnetization	0.00	μB/f.u.
formation energy	157	meV per atom